1.
Compound: BeOsSeBr2
Source: Alexandria
Functional: GGA-PBE
Structure: relaxed

Unit cell a=4.4886 b=4.4886 c=5.2749 alpha=90.00 beta=90.00 gamma=90.00
Space group P4/mmm (No. 123)
One atom of each set of equivalent atoms:
Be  0.0000  0.0000  0.0000
Os  0.5000  0.5000  0.5000
Se  0.0000  0.0000  0.5000
Br  0.0000  0.5000  0.0000

Summary:
For the uncorrected formation energy, the calculation gives 1.039 eV/atom. The density of states at the Fermi level is 4.4 states/eV per cell. The total energy comes out at -16.6 eV per cell. As for the size of the total moment: 3.84 μB/cell.

=====

2.
Compound: Rb2Nb2As
Source: Alexandria
Functional: GGA-PBE
Structure: relaxed

Unit cell a=3.6568 b=3.6568 c=24.7897 alpha=90.00 beta=90.00 gamma=90.00
Space group I4/mmm (No. 139)
One atom of each set of equivalent atoms:
Rb  0.0000  0.0000  0.0977
Nb  0.0000  0.5000  0.2500
As  0.0000  0.0000  0.5000

Summary:
The energy of formation comes out at 682.0 meV per atom. The density of states at the Fermi level is 7.3 states/eV per cell. The total energy comes out at -46.6 eV per cell. As for the size of the total moment: 0.00 μB/cell.

=====

3.
Compound: Nd2YSb3
Source: Alexandria
Functional: GGA-PBE
Structure: relaxed

Unit cell a=4.4838 b=6.3407 c=13.4365 alpha=90.00 beta=90.00 gamma=90.00
Space group Immm (No. 71)
One atom of each set of equivalent atoms:
Nd  0.0000  0.0000  0.1679
Y  0.0000  0.0000  0.5000
Sb  0.0000  0.5000  0.1621
Sb  0.0000  0.5000  0.5000

Summary:
For the uncorrected formation energy, the calculation gives -1.176 eV/atom. The density of states at the Fermi level is 2.4 states/eV per cell. The total energy comes out at -70.8 eV per cell. As for the size of the total moment: 0.00 μB/cell.

=====

4.
Compound: Zn13Cd3
Source: Alexandria
Functional: GGA-PBE
Structure: relaxed

Unit cell a=5.6805 b=9.6988 c=9.6015 alpha=90.00 beta=90.00 gamma=90.00
Space group Amm2 (No. 38)
One atom of each set of equivalent atoms:
Zn  0.0000  0.0000  0.0000
Zn  0.0000  0.0000  0.5196
Zn  0.0000  0.2386  0.8462
Zn  0.2449  0.0000  0.7538
Zn  0.2473  0.2397  0.5924
Zn  0.5000  0.0000  0.5217
Zn  0.5000  0.2466  0.8413
Cd  0.2472  0.0000  0.2650
Cd  0.5000  0.0000  0.0000

Summary:
The energy of formation comes out at 49.5 meV per atom. The density of states at the Fermi level is 4.4 states/eV per cell. The total energy comes out at -37.0 eV per cell. As for the size of the total moment: 0.00 μB/cell.

=====

5.
Compound: Ba4Tl5Pd2
Source: Alexandria
Functional: GGA-PBE
Structure: relaxed

Unit cell a=8.3960 b=4.4465 c=10.2425 alpha=90.00 beta=90.96 gamma=90.00
Space group P2/m (No. 10)
One atom of each set of equivalent atoms:
Ba  0.1890  0.0000  0.1537
Ba  0.2305  0.0000  0.5919
Tl  0.1502  0.5000  0.8646
Tl  0.4186  0.5000  0.3506
Tl  0.5000  0.5000  0.0000
Pd  0.0685  0.5000  0.3735

Summary:
The energy of formation comes out at -382.3 meV per atom. The density of states at the Fermi level is 6.4 states/eV per cell. The total energy comes out at -34.1 eV per cell. As for the size of the total moment: 0.00 μB/cell.